# 1
{"formula": "BaGaSb2", "functional": "GGA-PBE", "state": "optimized geometry", "lattice": [[-3.6331, 1.9275, 2.9931], [-4.7268, 0.5783, -1.7878], [-4.1251, -4.5021, 2.2143]], "species": ["Sb", "Sb", "Ba", "Ga"], "fractional_positions": [[0.7915, 0.7915, 0.6256], [0.2085, 0.2085, 0.3744], [0.0000, 0.0000, 0.0000], [0.5000, 0.5000, 0.5000]], "e_form_raw_mev_per_atom": -380, "energy_ev_per_atom": -3.6787, "crystal_system": "trigonal", "space_group": "R-3m (166)"}



# 2
{"formula": "BaGa3Sb", "functional": "GGA-PBE", "state": "optimized geometry", "lattice": [[-3.7286, 2.5326, -3.8073], [-4.5700, -1.8967, 3.2139], [0.1556, 4.9800, 3.1602]], "species": ["Sb", "Ba", "Ga", "Ga", "Ga"], "fractional_positions": [[0.5000, 0.5000, 0.5000], [0.0000, 0.0000, 0.0000], [0.0000, 0.5000, 0.0000], [0.0000, 0.0000, 0.5000], [0.5000, 0.0000, 0.0000]], "e_form_raw_mev_per_atom": 956, "energy_ev_per_atom": -2.0695, "crystal_system": "cubic", "space_group": "Pm-3m (221)", "de_polymorph_kj_per_mol_fu": 409.8}



# 3
{"formula": "Ba2GaSb2", "functional": "GGA-PBE", "state": "optimized geometry", "lattice": [[-1.6400, -4.3349, -0.2380], [2.1011, -2.9563, -5.8782], [9.5297, -6.3362, 4.4946]], "species": ["Ba", "Ba", "Ba", "Ba", "Ga", "Ga", "Sb", "Sb", "Sb", "Sb"], "fractional_positions": [[0.6746, 0.2975, 0.3534], [0.9199, 0.2498, 0.9105], [0.3254, 0.7025, 0.6466], [0.0801, 0.7502, 0.0895], [0.5731, 0.1398, 0.7141], [0.4269, 0.8602, 0.2859], [0.0690, 0.2572, 0.6048], [0.6677, 0.8032, 0.8614], [0.9310, 0.7428, 0.3952], [0.3323, 0.1968, 0.1386]], "e_form_raw_mev_per_atom": -768, "energy_ev_per_atom": -3.7912, "crystal_system": "monoclinic", "space_group": "C2/m (12)", "de_polymorph_kj_per_mol_fu": 20.1}



# 4
{"formula": "Ba2GaSb5", "functional": "GGA-PBE", "state": "optimized geometry", "lattice": [[-1.6884, 1.7200, -6.6498], [-6.5049, -2.6000, 0.9797], [2.4086, 5.2985, 4.5205]], "species": ["Ba", "Ba", "Ga", "Sb", "Sb", "Sb", "Sb", "Sb"], "fractional_positions": [[0.2187, 0.7187, 0.4373], [0.7187, 0.2186, 0.4373], [0.1131, 0.1131, 0.2261], [0.6912, 0.2485, 0.9397], [0.2485, 0.2485, 0.9397], [0.6912, 0.6912, 0.9397], [0.2485, 0.6912, 0.9397], [0.8472, 0.8472, 0.6944]], "e_form_raw_mev_per_atom": -468, "energy_ev_per_atom": -3.9039, "crystal_system": "tetragonal", "space_group": "I4mm (107)"}



# 5
{"formula": "BaGaSb3", "functional": "GGA-PBE", "state": "optimized geometry", "lattice": [[-3.2403, -0.5745, -5.5021], [5.7367, -5.9325, -2.9103], [-2.7655, -4.5619, 3.5548]], "species": ["Ba", "Ba", "Ga", "Ga", "Sb", "Sb", "Sb", "Sb", "Sb", "Sb"], "fractional_positions": [[0.3832, 0.9666, 0.4187], [0.6692, 0.4666, 0.1324], [0.9764, 0.0319, 0.7481], [0.9989, 0.5320, 0.7253], [0.1642, 0.2759, 0.9651], [0.8685, 0.1118, 0.3341], [0.2158, 0.7758, 0.9137], [0.7883, 0.8675, 0.0270], [0.2778, 0.3676, 0.5375], [0.5850, 0.6119, 0.6178]], "e_form_raw_mev_per_atom": -409, "energy_ev_per_atom": -3.8722, "crystal_system": "monoclinic", "space_group": "Cc (9)", "de_polymorph_kj_per_mol_fu": 0.0}



# 6
{"formula": "BaGaSb2", "functional": "GGA-PBE", "state": "optimized geometry", "lattice": [[-0.4147, -3.9268, -5.3913], [5.2197, 4.1048, 0.7504], [5.0618, -7.3432, 4.9590]], "species": ["Ba", "Ba", "Ba", "Ga", "Ga", "Ga", "Sb", "Sb", "Sb", "Sb", "Sb", "Sb"], "fractional_positions": [[0.5008, 0.5008, 0.0000], [0.0000, 0.4992, 0.6667], [0.4992, 0.0000, 0.3333], [0.5002, 0.5002, 0.5000], [0.0000, 0.4998, 0.1667], [0.4998, 0.0000, 0.8333], [0.8603, 0.1416, 0.9993], [0.2813, 0.1397, 0.6659], [0.8584, 0.7187, 0.3326], [0.1416, 0.8603, 0.0007], [0.1397, 0.2813, 0.3341], [0.7187, 0.8584, 0.6674]], "e_form_raw_mev_per_atom": -472, "energy_ev_per_atom": -3.7709, "crystal_system": "trigonal", "space_group": "P3_121 (152)"}



no.,density (g/cm³)
1,5.76
2,3.79
3,5.38
4,5.84
5,5.39
6,5.69